No. 1
Here is a relaxed structure of Na2P4Pd3O14 from OQMD via LeMat-Bulk. Energies are from PBE.

Unit cell a=9.5141 b=9.5141 c=13.1786 alpha=90.00 beta=90.00 gamma=90.00
Fractional positions:
Na: 0.3905 0.1095 0.2500
Na: 0.8905 0.3905 0.2500
Na: 0.1095 0.6095 0.2500
Na: 0.6095 0.8905 0.2500
Na: 0.3905 0.1095 0.7500
Na: 0.8905 0.3905 0.7500
Na: 0.1095 0.6095 0.7500
Na: 0.6095 0.8905 0.7500
O: 0.5888 0.2806 0.0000
O: 0.2806 0.4112 0.0000
O: 0.7194 0.5888 0.0000
O: 0.4112 0.7194 0.0000
O: 0.2727 0.1956 0.1139
O: 0.8044 0.2727 0.1139
O: 0.1956 0.7273 0.1139
O: 0.7273 0.8044 0.1139
O: 0.6277 0.0690 0.1157
O: 0.0690 0.3723 0.1157
O: 0.9310 0.6277 0.1157
O: 0.3723 0.9310 0.1157
O: 0.5596 0.2950 0.1913
O: 0.2950 0.4404 0.1913
O: 0.7050 0.5596 0.1913
O: 0.4404 0.7050 0.1913
O: 0.7950 0.0596 0.3087
O: 0.0596 0.2050 0.3087
O: 0.9404 0.7950 0.3087
O: 0.2050 0.9404 0.3087
O: 0.5690 0.1277 0.3843
O: 0.1277 0.4310 0.3843
O: 0.8723 0.5690 0.3843
O: 0.4310 0.8723 0.3843
O: 0.3044 0.2273 0.3861
O: 0.7727 0.3044 0.3861
O: 0.2273 0.6956 0.3861
O: 0.6956 0.7727 0.3861
O: 0.7806 0.0888 0.5000
O: 0.0888 0.2194 0.5000
O: 0.9112 0.7806 0.5000
O: 0.2194 0.9112 0.5000
O: 0.3044 0.2273 0.6139
O: 0.7727 0.3044 0.6139
O: 0.2273 0.6956 0.6139
O: 0.6956 0.7727 0.6139
O: 0.5690 0.1277 0.6157
O: 0.1277 0.4310 0.6157
O: 0.8723 0.5690 0.6157
O: 0.4310 0.8723 0.6157
O: 0.7950 0.0596 0.6913
O: 0.0596 0.2050 0.6913
O: 0.9404 0.7950 0.6913
O: 0.2050 0.9404 0.6913
O: 0.5596 0.2950 0.8087
O: 0.2950 0.4404 0.8087
O: 0.7050 0.5596 0.8087
O: 0.4404 0.7050 0.8087
O: 0.6277 0.0690 0.8843
O: 0.0690 0.3723 0.8843
O: 0.9310 0.6277 0.8843
O: 0.3723 0.9310 0.8843
O: 0.2727 0.1956 0.8861
O: 0.8044 0.2727 0.8861
O: 0.1956 0.7273 0.8861
O: 0.7273 0.8044 0.8861
P: 0.6499 0.2284 0.1084
P: 0.2284 0.3501 0.1084
P: 0.7716 0.6499 0.1084
P: 0.3501 0.7716 0.1084
P: 0.7284 0.1499 0.3916
P: 0.1499 0.2716 0.3916
P: 0.8501 0.7284 0.3916
P: 0.2716 0.8501 0.3916
P: 0.7284 0.1499 0.6084
P: 0.1499 0.2716 0.6084
P: 0.8501 0.7284 0.6084
P: 0.2716 0.8501 0.6084
P: 0.6499 0.2284 0.8916
P: 0.2284 0.3501 0.8916
P: 0.7716 0.6499 0.8916
P: 0.3501 0.7716 0.8916
Pd: 0.3139 0.0601 0.0000
Pd: 0.9399 0.3139 0.0000
Pd: 0.0601 0.6861 0.0000
Pd: 0.6861 0.9399 0.0000
Pd: 0.5000 0.5000 0.1899
Pd: 0.0000 0.0000 0.3101
Pd: 0.4399 0.1861 0.5000
Pd: 0.8139 0.4399 0.5000
Pd: 0.1861 0.5601 0.5000
Pd: 0.5601 0.8139 0.5000
Pd: 0.0000 0.0000 0.6899
Pd: 0.5000 0.5000 0.8101

calculated total energy = -0.2369 Ha/atom

=====

No. 2
Here is a relaxed structure of NaPPdO from OQMD via LeMat-Bulk. Energies are from PBE.

Unit cell a=4.1192 b=4.1192 c=6.3824 alpha=90.00 beta=90.00 gamma=90.00
Fractional positions:
Na: 0.0000 0.5000 0.1396
Na: 0.5000 0.0000 0.8604
O: 0.0000 0.0000 0.0000
O: 0.5000 0.5000 0.0000
P: 0.5000 0.0000 0.2814
P: 0.0000 0.5000 0.7186
Pd: 0.0000 0.0000 0.5000
Pd: 0.5000 0.5000 0.5000

relative energy among the computed polymorphs = 0.2638 eV per atom
calculated total energy = -0.1655 Ha/atom

=====

No. 3
Here is a relaxed structure of NaPPdO from OQMD via LeMat-Bulk. Energies are from PBE.

Unit cell a=3.6514 b=3.6514 c=8.6260 alpha=90.00 beta=90.00 gamma=90.00
Fractional positions:
Na: 0.0000 0.0000 0.5000
Na: 0.5000 0.5000 0.5000
O: 0.0000 0.0000 0.0000
O: 0.5000 0.5000 0.0000
P: 0.5000 0.0000 0.2512
P: 0.0000 0.5000 0.7488
Pd: 0.0000 0.5000 0.1472
Pd: 0.5000 0.0000 0.8528

relative energy among the computed polymorphs = 0.8563 eV per atom
calculated total energy = -0.1438 Ha/atom

=====

No. 4
Here is a relaxed structure of NaPmPO from OQMD via LeMat-Bulk. Energies are from PBE.

Unit cell a=3.7270 b=8.0113 c=5.9848 alpha=90.00 beta=90.00 gamma=90.00
Fractional positions:
Na: 0.0000 0.4135 0.0232
Na: 0.0000 0.5865 0.5232
O: 0.0000 0.3303 0.3902
O: 0.0000 0.6697 0.8902
P: 0.5000 0.8362 0.4144
P: 0.5000 0.1638 0.9144
Pm: 0.5000 0.1887 0.4262
Pm: 0.5000 0.8113 0.9262

relative energy among the computed polymorphs = 0.1067 eV per atom
calculated total energy = -0.2048 Ha/atom

=====

No. 5
Here is a relaxed structure of NaPmPO from OQMD via LeMat-Bulk. Energies are from PBE.

Unit cell a=4.1114 b=6.6378 c=5.6737 alpha=90.00 beta=90.00 gamma=90.00
Fractional positions:
Na: 0.0000 0.1301 0.0634
Na: 0.0000 0.8699 0.5634
O: 0.5000 0.9989 0.3149
O: 0.5000 0.0011 0.8149
P: 0.0000 0.4997 0.3124
P: 0.0000 0.5003 0.8124
Pm: 0.5000 0.7386 0.0634
Pm: 0.5000 0.2614 0.5634

relative energy among the computed polymorphs = 0.0000 eV per atom
calculated total energy = -0.2088 Ha/atom

=====

No. 6
Here is a relaxed structure of NaPmPO from OQMD via LeMat-Bulk. Energies are from PBE.

Unit cell a=3.9560 b=3.9560 c=10.1798 alpha=90.00 beta=90.00 gamma=90.00
Fractional positions:
Na: 0.5000 0.0000 0.5000
Na: 0.0000 0.5000 0.5000
O: 0.5000 0.0000 0.0000
O: 0.0000 0.5000 0.0000
P: 0.5000 0.5000 0.2970
P: 0.0000 0.0000 0.7030
Pm: 0.0000 0.0000 0.1166
Pm: 0.5000 0.5000 0.8834

relative energy among the computed polymorphs = 0.0069 eV per atom
calculated total energy = -0.2085 Ha/atom

=====

Question: Look up the calculated total energy of the second one.
Answer: -0.1655 Ha/atom

=====

What did the sixth record say?
Here is a relaxed structure of NaPmPO from OQMD via LeMat-Bulk. Energies are from PBE.

Unit cell a=3.9560 b=3.9560 c=10.1798 alpha=90.00 beta=90.00 gamma=90.00
Fractional positions:
Na: 0.5000 0.0000 0.5000
Na: 0.0000 0.5000 0.5000
O: 0.5000 0.0000 0.0000
O: 0.0000 0.5000 0.0000
P: 0.5000 0.5000 0.2970
P: 0.0000 0.0000 0.7030
Pm: 0.0000 0.0000 0.1166
Pm: 0.5000 0.5000 0.8834

relative energy among the computed polymorphs = 0.0069 eV per atom
calculated total energy = -0.2085 Ha/atom

=====

Question: Among the records above, which one has the highest calculated total energy?
Answer: number 3

=====

Question: What is the formula in the third record?
Answer: NaPPdO